(1)
DFT (PBE) results for crystalline Ac3GaSi2Pd6 at its relaxed geometry.

Cell lengths 6.0143, 6.0143, 8.6686 Å; angles 90.00, 90.00, 120.00 degrees
Closest atoms and distances in Å follow each position.
Fractional coordinates of all 12 atoms:
1 Pd 0.1756 0.8244 0.2954  1 Si 2.53, 1 Ga 2.55
2 Ac 0.3333 0.6667 0.6722  6 Pd 3.02
3 Ac 0.0000 0.0000 0.0000  6 Pd 3.15
4 Si 0.3333 0.6667 0.0739  3 Pd 2.53
5 Si 0.6667 0.3333 0.9261  3 Pd 2.53
6 Ac 0.6667 0.3333 0.3278  6 Pd 3.02
7 Pd 0.3511 0.1756 0.7046  1 Si 2.53, 1 Ga 2.55
8 Pd 0.1756 0.3511 0.2954  1 Si 2.53, 1 Ga 2.55
9 Ga 0.0000 0.0000 0.5000  6 Pd 2.55
10 Pd 0.8244 0.6489 0.7046  1 Si 2.53, 1 Ga 2.55
11 Pd 0.8244 0.1756 0.7046  1 Si 2.53, 1 Ga 2.55
12 Pd 0.6489 0.8244 0.2954  1 Si 2.53, 1 Ga 2.55

Output
* V: 271.5 Å³ per cell
* total energy: -5.4420 eV per atom
* total magnetization: 0.0000 μB/atom
* SG: P-3m1


(2)
DFT (PBE) results for crystalline AcGa2SiPd at its relaxed geometry.

Cell lengths 4.3830, 4.3898, 6.1431 Å; angles 110.93, 110.90, 90.00 degrees
Closest atoms and distances in Å follow each position.
Fractional coordinates of all 5 atoms:
1 Pd 0.2004 0.7004 0.4008  2 Si 2.53, 2 Ga 2.65
2 Ga 0.6905 0.1905 0.3810  2 Si 2.59, 2 Ga 2.59
3 Ac 0.4416 0.4416 0.8833  8 Ga 3.35-3.45, 4 Si 3.36, 4 Pd 3.37-3.51
4 Ga 0.0599 0.0599 0.1199  1 Si 2.55, 2 Ga 2.59, 2 Pd 2.65
5 Si 0.8197 0.8197 0.6394  2 Pd 2.53, 3 Ga 2.55-2.59

Output
* V: 102.0 Å³ per cell
* total energy: -4.8325 eV per atom
* total magnetization: 0.0000 μB/atom
* SG: Imm2


(3)
DFT (PBE) results for crystalline Ac2Ga3SiPd4 at its relaxed geometry.

Cell lengths 4.4500, 4.4500, 10.3631 Å; angles 90.00, 90.00, 90.00 degrees
Closest atoms and distances in Å follow each position.
Fractional coordinates of all 10 atoms:
1 Ac 0.5000 0.0000 0.2561  2 Si 3.37, 6 Ga 3.37-3.43, 8 Pd 3.39-3.46
2 Si 0.5000 0.5000 0.5000  4 Pd 2.56
3 Ga 0.0000 0.0000 0.5000  4 Pd 2.56
4 Pd 0.5000 0.5000 0.0000  4 Ga 2.58
5 Pd 0.5000 0.0000 0.6221  2 Si 2.56, 3 Ga 2.56-2.62
6 Ac 0.0000 0.5000 0.7439  2 Si 3.37, 6 Ga 3.37-3.43, 8 Pd 3.39-3.46
7 Pd 0.0000 0.0000 0.0000  4 Ga 2.58
8 Ga 0.5000 0.0000 0.8746  5 Pd 2.58-2.62
9 Ga 0.0000 0.5000 0.1254  5 Pd 2.58-2.62
10 Pd 0.0000 0.5000 0.3779  2 Si 2.56, 3 Ga 2.56-2.62

Output
* V: 205.2 Å³ per cell
* total energy: -5.1576 eV per atom
* total magnetization: 0.0000 μB/atom
* SG: P-4m2


(4)
DFT (PBE) results for crystalline Ac2Ga2SiPd4 at its relaxed geometry.

Cell lengths 6.4195, 6.4195, 6.4195 Å; angles 94.75, 117.30, 117.30 degrees
Closest atoms and distances in Å follow each position.
Fractional coordinates of all 9 atoms:
1 Si 0.0000 0.0000 0.0000  4 Pd 2.44
2 Ac 0.5000 0.7500 0.2500  8 Pd 3.21, 4 Ga 3.43
3 Pd 0.0000 0.2588 0.7412  1 Si 2.44, 2 Ga 2.67
4 Ga 0.0000 0.3401 0.3401  4 Pd 2.67, 1 Ga 2.78, 1 Si 2.96
5 Pd 0.5176 0.2588 0.2588  1 Si 2.44, 2 Ga 2.67
6 Ac 0.5000 0.2500 0.7500  8 Pd 3.21, 4 Ga 3.43
7 Ga 0.0000 0.6599 0.6599  4 Pd 2.67, 1 Ga 2.78, 1 Si 2.96
8 Pd 0.0000 0.7412 0.2588  1 Si 2.44, 2 Ga 2.67
9 Pd 0.4824 0.7412 0.7412  1 Si 2.44, 2 Ga 2.67

Output
* V: 194.0 Å³ per cell
* total energy: -5.1948 eV per atom
* total magnetization: 0.0000 μB/atom
* SG: I4/mmm